1.
# HfAgAs2Br

HfAgAs2Br after structural relaxation (PBE-GGA, Alexandria via LeMat-Bulk).

Values from the calculation:
formation energy without anion corrections	0.10	eV per atom
space group	P4/mmm (123)
D(E_F)	4.538	states/eV/cell
E above lowest polymorph	0.000	eV/atom

Cell: 5.1748 5.1748 5.3092 Å, 90.00 90.00 90.00°
Closest atoms and distances in Å follow each position.
Atoms (fractional coordinates):
1 Hf 0.0000 0.0000 0.0000  4 As 2.59, 2 Br 2.65
2 Ag 0.5000 0.5000 0.5000  4 Br 3.66, 8 As 3.71
3 As 0.0000 0.5000 0.0000  2 Hf 2.59
4 As 0.5000 0.0000 0.0000  2 Hf 2.59
5 Br 0.0000 0.0000 0.5000  2 Hf 2.65


2.
# LaErPu4

LaErPu4 after structural relaxation (PBE-GGA, Alexandria via LeMat-Bulk).

Values from the calculation:
space group	F-43m (216)
formation energy from the elements	23	kJ per mole of atoms
D(E_F)	28.200	states/eV/cell

Cell: 6.2071 6.2071 6.2071 Å, 60.00 60.00 60.00°
Closest atoms and distances in Å follow each position.
Atoms (fractional coordinates):
1 La 0.0000 0.0000 0.0000  12 Pu 3.64, 4 Er 3.80
2 Er 0.7500 0.7500 0.7500  12 Pu 3.64, 4 La 3.80
3 Pu 0.3751 0.3751 0.3751  6 Pu 3.10-3.11
4 Pu 0.3751 0.3751 0.8747  6 Pu 3.10-3.11
5 Pu 0.3751 0.8747 0.3751  6 Pu 3.10-3.11
6 Pu 0.8747 0.3751 0.3751  6 Pu 3.10-3.11


3.
# NaSmTcN3

NaSmTcN3 after structural relaxation (PBE-GGA, Alexandria via LeMat-Bulk).

Values from the calculation:
formation energy without anion corrections	-0.42	eV per atom
space group	C2/m (12)
D(E_F)	3.359	states/eV/cell

Cell: 7.0737 7.0737 7.0253 Å, 105.89 105.89 31.89°
Closest atoms and distances in Å follow each position.
Atoms (fractional coordinates):
1 Na 0.1412 0.1412 0.0766  7 N 2.63-2.88
2 Na 0.8588 0.8588 0.9234  7 N 2.63-2.88
3 Sm 0.1636 0.1636 0.5947  7 N 2.38-2.62
4 Sm 0.8364 0.8364 0.4053  7 N 2.38-2.62
5 Tc 0.4988 0.4988 0.6916  4 N 1.86-2.04
6 Tc 0.5012 0.5012 0.3084  4 N 1.86-2.04
7 N 0.0083 0.0083 0.3077  2 Tc 1.95
8 N 0.3438 0.3438 0.6413  1 Tc 2.04
9 N 0.3611 0.3611 0.1778  1 Tc 1.86
10 N 0.6389 0.6389 0.8222  1 Tc 1.86
11 N 0.6562 0.6562 0.3587  1 Tc 2.04
12 N 0.9917 0.9917 0.6923  2 Tc 1.95


4.
# HoCuNi4

HoCuNi4 after structural relaxation (PBE-GGA, Alexandria via LeMat-Bulk).

Values from the calculation:
space group	F-43m (216)
formation energy from the elements	-28	kJ per mole of atoms
D(E_F)	7.139	states/eV/cell

Cell: 4.8504 4.8504 4.8504 Å, 60.00 60.00 60.00°
Closest atoms and distances in Å follow each position.
Atoms (fractional coordinates):
1 Ho 0.0000 0.0000 0.0000  12 Ni 2.85, 4 Cu 2.97
2 Cu 0.7500 0.7500 0.7500  12 Ni 2.84, 4 Ho 2.97
3 Ni 0.3759 0.3759 0.3759  6 Ni 2.41-2.44
4 Ni 0.3759 0.3759 0.8723  6 Ni 2.41-2.44
5 Ni 0.3759 0.8723 0.3759  6 Ni 2.41-2.44
6 Ni 0.8723 0.3759 0.3759  6 Ni 2.41-2.44


5.
# CsAc2Be2S6

CsAc2Be2S6 after structural relaxation (PBE-GGA, Alexandria via LeMat-Bulk).

Values from the calculation:
formation energy without anion corrections	-1.35	eV per atom
space group	P-1 (2)
D(E_F)	0.044	states/eV/cell

Cell: 7.5397 7.6433 7.7740 Å, 62.47 67.99 65.45°
Closest atoms and distances in Å follow each position.
Atoms (fractional coordinates):
1 Cs 0.0000 0.0000 0.0000  6 S 3.50-3.87
2 Ac 0.2938 0.2999 0.3477  6 S 2.91-3.06
3 Ac 0.7062 0.7001 0.6523  6 S 2.91-3.06
4 Be 0.2935 0.5762 0.7176  3 S 2.00-2.05
5 Be 0.7065 0.4238 0.2824  3 S 2.00-2.05
6 S 0.1280 0.4560 0.6787  1 Be 2.00
7 S 0.2993 0.8702 0.5738  1 Be 2.01
8 S 0.4813 0.3767 0.9066  1 Be 2.05
9 S 0.5187 0.6233 0.0934  1 Be 2.05
10 S 0.7007 0.1298 0.4262  1 Be 2.01
11 S 0.8720 0.5440 0.3213  1 Be 2.00


6.
# La3PmNd2Sm6

La3PmNd2Sm6 after structural relaxation (PBE-GGA, Alexandria via LeMat-Bulk).

Values from the calculation:
space group	C2/m (12)
formation energy from the elements	1	kJ per mole of atoms
D(E_F)	18.824	states/eV/cell

Cell: 6.3719 6.3719 12.1165 Å, 95.05 95.05 120.06°
Closest atoms and distances in Å follow each position.
Atoms (fractional coordinates):
1 La 0.0000 0.0000 0.0000  6 La 3.68, 6 Sm 3.68
2 La 0.3333 0.6667 0.0000  6 La 3.68, 6 Sm 3.68
3 La 0.6667 0.3333 0.0000  6 La 3.68, 6 Sm 3.68
4 Pm 0.5000 0.5000 0.5000  6 Sm 3.64, 6 Nd 3.68
5 Nd 0.1668 0.8332 0.5000  6 Sm 3.64, 3 Nd 3.68, 3 Pm 3.68
6 Nd 0.8332 0.1668 0.5000  6 Sm 3.64, 3 Nd 3.68, 3 Pm 3.68
7 Sm 0.0844 0.4176 0.2522  1 Pm 3.64, 2 Nd 3.64, 6 Sm 3.67-3.68, 3 La 3.68
8 Sm 0.2492 0.2492 0.7477  2 Nd 3.64, 1 Pm 3.64, 6 Sm 3.67-3.68, 3 La 3.68
9 Sm 0.4176 0.0844 0.2522  1 Pm 3.64, 2 Nd 3.64, 6 Sm 3.67-3.68, 3 La 3.68
10 Sm 0.5824 0.9156 0.7478  1 Pm 3.64, 2 Nd 3.64, 6 Sm 3.67-3.68, 3 La 3.68
11 Sm 0.7508 0.7508 0.2523  2 Nd 3.64, 1 Pm 3.64, 6 Sm 3.67-3.68, 3 La 3.68
12 Sm 0.9156 0.5824 0.7478  1 Pm 3.64, 2 Nd 3.64, 6 Sm 3.67-3.68, 3 La 3.68


7.
# Li12Zn7Au

Li12Zn7Au after structural relaxation (PBE-GGA, Alexandria via LeMat-Bulk).

Values from the calculation:
space group	R-3m (166)
formation energy from the elements	-15	kJ per mole of atoms
D(E_F)	9.038	states/eV/cell

Cell: 7.0252 7.0252 7.0252 Å, 101.18 101.18 101.18°
Closest atoms and distances in Å follow each position.
Atoms (fractional coordinates):
1 Li 0.0000 0.2629 0.7371  5 Zn 2.70-2.87, 6 Li 2.74-2.95
2 Li 0.0000 0.7371 0.2629  5 Zn 2.70-2.87, 6 Li 2.74-2.95
3 Li 0.1703 0.1703 0.4219  6 Li 2.73-2.95, 1 Au 2.82, 4 Zn 2.89-3.02
4 Li 0.1703 0.4219 0.1703  6 Li 2.73-2.95, 1 Au 2.82, 4 Zn 2.89-3.02
5 Li 0.2629 0.0000 0.7371  5 Zn 2.70-2.87, 6 Li 2.74-2.95
6 Li 0.2629 0.7371 0.0000  5 Zn 2.70-2.87, 6 Li 2.74-2.95
7 Li 0.4219 0.1703 0.1703  6 Li 2.73-2.95, 1 Au 2.82, 4 Zn 2.89-3.02
8 Li 0.5781 0.8297 0.8297  6 Li 2.73-2.95, 1 Au 2.82, 4 Zn 2.89-3.02
9 Li 0.7371 0.0000 0.2629  5 Zn 2.70-2.87, 6 Li 2.74-2.95
10 Li 0.7371 0.2629 0.0000  5 Zn 2.70-2.87, 6 Li 2.74-2.95
11 Li 0.8297 0.5781 0.8297  6 Li 2.73-2.95, 1 Au 2.82, 4 Zn 2.89-3.02
12 Li 0.8297 0.8297 0.5781  6 Li 2.73-2.95, 1 Au 2.82, 4 Zn 2.89-3.02
13 Zn 0.0000 0.0000 0.0000  12 Li 2.85-2.89
14 Zn 0.1727 0.5992 0.5992  3 Zn 2.53-2.80, 2 Li 2.70, 1 Au 2.70
15 Zn 0.4008 0.4008 0.8273  3 Zn 2.53-2.80, 2 Li 2.70, 1 Au 2.70
16 Zn 0.4008 0.8273 0.4008  3 Zn 2.53-2.80, 2 Li 2.70, 1 Au 2.70
17 Zn 0.5992 0.1727 0.5992  3 Zn 2.53-2.80, 2 Li 2.70, 1 Au 2.70
18 Zn 0.5992 0.5992 0.1727  3 Zn 2.53-2.80, 2 Li 2.70, 1 Au 2.70
19 Zn 0.8273 0.4008 0.4008  3 Zn 2.53-2.80, 2 Li 2.70, 1 Au 2.70
20 Au 0.5000 0.5000 0.5000  6 Zn 2.70, 6 Li 2.82


8.
# Rb2UBO6

Rb2UBO6 after structural relaxation (PBE-GGA, Alexandria via LeMat-Bulk).

Values from the calculation:
formation energy without anion corrections	-2.28	eV per atom
space group	C2/m (12)
D(E_F)	4.622	states/eV/cell

Cell: 6.1546 6.1546 6.9112 Å, 124.04 124.04 74.36°
Closest atoms and distances in Å follow each position.
Atoms (fractional coordinates):
1 Rb 0.2476 0.7524 0.0000  8 O 3.08-3.17
2 Rb 0.7524 0.2476 0.0000  8 O 3.08-3.17
3 U 0.5000 0.5000 0.5000  4 O 1.93
4 B 0.0000 0.0000 0.5000  2 O 1.27
5 O 0.1705 0.8295 0.5000  1 B 1.27
6 O 0.2985 0.2985 0.4901  1 U 1.93
7 O 0.3001 0.3001 0.1080  1 U 1.93
8 O 0.6999 0.6999 0.8920  1 U 1.93
9 O 0.7015 0.7015 0.5099  1 U 1.93
10 O 0.8295 0.1705 0.5000  1 B 1.27